No. 1
Th6SbOs3S2: optimized geometry, GGA-PBE.

## Properties
Total DFT energy (no corrections) (eV per atom): -8.43

a b c (Å): 18.7051 4.1419 8.7021
angles (deg): 90.00 106.97 90.00
Closest atoms and distances in Å follow each position.
Space group C2/m (No. 12)
Asymmetric unit:
Th: 0.0047 0.0000 0.2232 (multiplicity 4)  3 Os 2.82-2.90, 1 S 3.15
Th: 0.1625 0.5000 0.0985 (multiplicity 4)  3 Os 2.87-2.91, 3 S 3.02-3.10
Th: 0.1782 0.5000 0.5701 (multiplicity 4)  3 Os 2.77-2.91
Sb: 0.0000 0.5000 0.5000 (multiplicity 2)  6 Th 3.20-3.21
Os: 0.0000 0.5000 0.0000 (multiplicity 2)  6 Th 2.82-2.91
Os: 0.1670 0.0000 0.3288 (multiplicity 4)  6 Th 2.77-2.91
S: 0.1697 0.0000 0.8383 (multiplicity 4)  6 Th 3.02-3.16

=====

No. 2
PaRuRh: optimized geometry, GGA-PBE.

## Properties
ΔH_f (0 K) (eV per atom): -0.421

a b c (Å): 3.5738 9.2511 6.9446
angles (deg): 90.00 90.00 90.00
Closest atoms and distances in Å follow each position.
Space group Cmcm (No. 63)
Asymmetric unit:
Pa: 0.0000 0.0000 0.0000 (multiplicity 4)  4 Ru 2.76, 4 Rh 2.92
Ru: 0.0000 0.3716 0.2500 (multiplicity 4)  3 Rh 2.62-2.72, 4 Pa 2.76
Rh: 0.0000 0.3348 0.7500 (multiplicity 4)  3 Ru 2.62-2.72, 4 Pa 2.92

=====

No. 3
Si3HgSe: optimized geometry, GGA-PBE.

## Properties
Total DFT energy (no corrections) (eV per atom): -2.97

a b c (Å): 4.9947 4.9947 4.9947
angles (deg): 90.00 90.00 90.00
Closest atoms and distances in Å follow each position.
Space group Pm-3m (No. 221)
Asymmetric unit:
Si: 0.0000 0.0000 0.5000 (multiplicity 3)  2 Se 2.50
Hg: 0.5000 0.5000 0.5000 (multiplicity 1)  12 Si 3.53
Se: 0.0000 0.0000 0.0000 (multiplicity 1)  6 Si 2.50